Li3Pt PBEsol optimized geometry; formation enthalpy at 0 K = -338 meV/atom; DOS at the Fermi energy = 1.32 states/eV per cell; energy relative to the lowest polymorph listed for this composition = 0.06 eV/f.u.
1.0
2.7596 0.0000 0.0000
0.0000 4.3261 0.0000
0.0000 0.0000 4.6751
Li Pt
3 1
Cartesian
0.0000 0.0000 0.0000
0.0000 2.1630 1.6128
1.3798 0.0000 2.5744
1.3798 2.1630 3.9604